{"formula": "KInSbTe2", "functional": "PBE", "state": "relaxed", "e_tot_ev_per_fu": -14.18, "crystal_system": "tetragonal", "density_g_cm3": 4.5, "cell": [[5.9118, 0.0000, 0.0000], [0.0000, 5.9118, 0.0000], [0.0000, 0.0000, 5.6344]], "species": ["K", "In", "Sb", "Te", "Te"], "frac_coords": [[0.0000, 0.0000, 0.0000], [0.5000, 0.5000, 0.5000], [0.5000, 0.5000, 0.0000], [0.0000, 0.5000, 0.5000], [0.5000, 0.0000, 0.5000]]}